No. 1
Here is SmHo4Er after structural relaxation from the Alexandria database. Energies are from PBE.

Lattice parameters (Å, degrees): 3.4405 5.7681 9.8485 90.00 90.00 90.00
Sites, in units of the cell vectors:
Sm1 0.0000 0.0000 0.0000
Ho1 0.0000 0.5000 0.1908
Ho2 0.0000 0.5000 0.8092
Ho3 0.5000 0.0000 0.3134
Ho4 0.5000 0.0000 0.6866
Er1 0.5000 0.5000 0.5000

**SG**: No. 47
**DFT total energy**: -26.40 eV per formula unit
**Total moment**: 0.00 μB/cell

No. 2
Here is Tl4Hg2O after structural relaxation from the Alexandria database. Energies are from PBE.

Lattice parameters (Å, degrees): 7.1967 3.5360 8.2945 90.00 105.58 90.00
Sites, in units of the cell vectors:
Tl1 0.1012 0.0000 0.3296
Tl2 0.2506 0.5000 0.9937
Tl3 0.7494 0.5000 0.0063
Tl4 0.8988 0.0000 0.6704
Hg1 0.4039 0.5000 0.6501
Hg2 0.5961 0.5000 0.3499
O1 0.0000 0.0000 0.0000

**SG**: No. 10
**Formation energy without anion corrections**: -0.196 eV/atom
**Total moment**: 0.00 μB/cell

No. 3
Here is Tl4ZnCu after structural relaxation from the Alexandria database. Energies are from PBE.

Lattice parameters (Å, degrees): 6.3566 6.3566 6.3566 60.00 60.00 60.00
Sites, in units of the cell vectors:
Tl1 0.1253 0.1253 0.1253
Tl2 0.1253 0.1253 0.6242
Tl3 0.1253 0.6242 0.1253
Tl4 0.6242 0.1253 0.1253
Zn1 0.7500 0.7500 0.7500
Cu1 0.5000 0.5000 0.5000

**SG**: No. 216
**DFT total energy**: -11.69 eV per formula unit
**Total moment**: 0.00 μB/cell

| no. | V (Å³/cell) |
| --- | --- |
| 1 | 195.4 |
| 2 | 203.3 |
| 3 | 181.6 |